1.
An optimized crystal structure of Lu4Si3W2C3. Source: the Open Quantum Materials Database, functional PBE.

Values from the calculation:
total energy: -0.57696 Ry per atom

a = 5.7568 Å, b = 5.7568 Å, c = 13.6297 Å
α = 102.26°, β = 102.26°, γ = 60.48°
With the nearest neighbours (Å) after each atom.
Fractional coordinates of all 24 atoms:
1 Lu 0.0436 0.1917 0.1038  3 C 2.38-2.41
2 Lu 0.1214 0.2997 0.3959  3 C 2.38-2.40
3 Lu 0.1917 0.0436 0.6038  3 C 2.38-2.41
4 Lu 0.2997 0.1214 0.8959  3 C 2.38-2.40
5 Lu 0.7003 0.8786 0.1041  3 C 2.38-2.40
6 Lu 0.8083 0.9564 0.3962  3 C 2.38-2.41
7 Lu 0.8786 0.7003 0.6041  3 C 2.38-2.40
8 Lu 0.9564 0.8083 0.8962  3 C 2.38-2.41
9 Si 0.1722 0.8278 0.2500  2 Si 2.47, 2 W 2.66
10 Si 0.3343 0.4153 0.7517  2 Si 2.47-2.50, 2 W 2.69-2.70
11 Si 0.4153 0.3343 0.2517  2 Si 2.47-2.50, 2 W 2.69-2.70
12 Si 0.5847 0.6657 0.7483  2 Si 2.47-2.50, 2 W 2.69-2.70
13 Si 0.6657 0.5847 0.2483  2 Si 2.47-2.50, 2 W 2.69-2.70
14 Si 0.8278 0.1722 0.7500  2 Si 2.47, 2 W 2.66
15 W 0.3480 0.5250 0.0785  3 C 2.12-2.14
16 W 0.4750 0.6520 0.4215  3 C 2.12-2.14
17 W 0.5250 0.3480 0.5785  3 C 2.12-2.14
18 W 0.6520 0.4750 0.9215  3 C 2.12-2.14
19 C 0.0000 0.5000 0.0000  2 W 2.12
20 C 0.1893 0.6555 0.5002  2 W 2.14, 2 Lu 2.38
21 C 0.3445 0.8107 0.9998  2 W 2.14, 2 Lu 2.38
22 C 0.5000 0.0000 0.5000  2 W 2.12
23 C 0.6555 0.1893 0.0002  2 W 2.14, 2 Lu 2.38
24 C 0.8107 0.3445 0.4998  2 W 2.14, 2 Lu 2.38

***

2.
An optimized crystal structure of KGdFeSe3. Source: the Open Quantum Materials Database, functional PBE.

Values from the calculation:
relative energy among the computed polymorphs: 70 meV/atom

a = 11.3380 Å, b = 4.2926 Å, c = 12.6203 Å
α = 90.00°, β = 90.00°, γ = 90.00°
With the nearest neighbours (Å) after each atom.
Fractional coordinates of all 24 atoms:
1 K 0.1757 0.2500 0.0020  7 Se 3.29-3.40, 2 Fe 3.55
2 K 0.3243 0.7500 0.5020  7 Se 3.29-3.40, 2 Fe 3.55
3 K 0.6757 0.2500 0.4980  7 Se 3.29-3.40, 2 Fe 3.55
4 K 0.8243 0.7500 0.9980  7 Se 3.29-3.40, 2 Fe 3.55
5 Gd 0.0173 0.2500 0.6788  7 Se 2.93-3.20
6 Gd 0.4827 0.7500 0.1788  7 Se 2.93-3.20
7 Gd 0.5173 0.2500 0.8212  7 Se 2.93-3.20
8 Gd 0.9827 0.7500 0.3212  7 Se 2.93-3.20
9 Fe 0.2443 0.2500 0.2902  4 Se 2.40-2.47
10 Fe 0.2557 0.7500 0.7902  4 Se 2.40-2.47
11 Fe 0.7443 0.2500 0.2098  4 Se 2.40-2.47
12 Fe 0.7557 0.7500 0.7098  4 Se 2.40-2.47
13 Se 0.0500 0.7500 0.8342  1 Fe 2.40
14 Se 0.1035 0.2500 0.4372  1 Fe 2.45
15 Se 0.2177 0.7500 0.1968  2 Fe 2.47
16 Se 0.2823 0.2500 0.6968  2 Fe 2.47
17 Se 0.3965 0.7500 0.9372  1 Fe 2.45
18 Se 0.4500 0.2500 0.3342  1 Fe 2.40
19 Se 0.5500 0.7500 0.6658  1 Fe 2.40
20 Se 0.6035 0.2500 0.0628  1 Fe 2.45
21 Se 0.7177 0.7500 0.3032  2 Fe 2.47
22 Se 0.7823 0.2500 0.8032  2 Fe 2.47
23 Se 0.8965 0.7500 0.5628  1 Fe 2.45
24 Se 0.9500 0.2500 0.1658  1 Fe 2.40

***

3.
An optimized crystal structure of BaSr2SiPd. Source: the Open Quantum Materials Database, functional PBE.

Values from the calculation:
total energy: -0.25849 Ry per atom

a = 7.1321 Å, b = 7.1321 Å, c = 7.1321 Å
α = 137.23°, β = 137.23°, γ = 62.08°
With the nearest neighbours (Å) after each atom.
Fractional coordinates of all 5 atoms:
1 Ba 0.0000 0.0000 0.0000  4 Si 3.84, 4 Pd 3.90, 8 Sr 3.97-4.05
2 Sr 0.2544 0.7544 0.5000  2 Pd 3.17, 2 Si 3.21
3 Sr 0.7544 0.2544 0.5000  2 Pd 3.17, 2 Si 3.21
4 Si 0.4088 0.4088 0.0000  1 Pd 2.41
5 Pd 0.6057 0.6057 0.0000  1 Si 2.41

***

4.
An optimized crystal structure of PrBiNO. Source: the Open Quantum Materials Database, functional PBE.

Values from the calculation:
relative energy among the computed polymorphs: 203 meV/atom

a = 7.1967 Å, b = 7.6448 Å, c = 5.7618 Å
α = 90.00°, β = 90.00°, γ = 90.00°
With the nearest neighbours (Å) after each atom.
Fractional coordinates of all 16 atoms:
1 Pr 0.0897 0.1478 0.0000  1 O 2.35, 3 N 2.37-2.46
2 Pr 0.4103 0.1478 0.5000  1 O 2.35, 3 N 2.37-2.46
3 Pr 0.5897 0.8522 0.0000  1 O 2.35, 3 N 2.37-2.46
4 Pr 0.9103 0.8522 0.5000  1 O 2.35, 3 N 2.37-2.46
5 Bi 0.1247 0.6703 0.0151  1 N 2.25, 2 O 2.29
6 Bi 0.3753 0.6703 0.5151  1 N 2.25, 2 O 2.29
7 Bi 0.6247 0.3297 0.0151  1 N 2.25, 2 O 2.29
8 Bi 0.8753 0.3297 0.5151  1 N 2.25, 2 O 2.29
9 N 0.0880 0.1181 0.5740  1 Bi 2.25, 3 Pr 2.37-2.46
10 N 0.4120 0.1181 0.0740  1 Bi 2.25, 3 Pr 2.37-2.46
11 N 0.5880 0.8819 0.5740  1 Bi 2.25, 3 Pr 2.37-2.46
12 N 0.9120 0.8819 0.0740  1 Bi 2.25, 3 Pr 2.37-2.46
13 O 0.0310 0.4147 0.1872  2 Bi 2.29, 1 Pr 2.35
14 O 0.4690 0.4147 0.6872  2 Bi 2.29, 1 Pr 2.35
15 O 0.5310 0.5853 0.1872  2 Bi 2.29, 1 Pr 2.35
16 O 0.9690 0.5853 0.6872  2 Bi 2.29, 1 Pr 2.35

***

5.
An optimized crystal structure of Li2AgHg. Source: the Open Quantum Materials Database, functional PBE.

Values from the calculation:
total energy: -0.14958 Ry per atom

a = 4.5518 Å, b = 4.5518 Å, c = 4.5518 Å
α = 120.37°, β = 120.37°, γ = 89.36°
With the nearest neighbours (Å) after each atom.
Fractional coordinates of all 4 atoms:
1 Li 0.2500 0.7500 0.5000  4 Hg 2.78, 4 Ag 2.78
2 Li 0.7500 0.2500 0.5000  4 Hg 2.78, 4 Ag 2.78
3 Ag 0.0000 0.0000 0.0000  8 Li 2.78
4 Hg 0.5000 0.5000 0.0000  8 Li 2.78

***

6.
An optimized crystal structure of TbAuSO. Source: the Open Quantum Materials Database, functional PBE.

Values from the calculation:
relative energy among the computed polymorphs: 494 meV/atom

a = 4.1215 Å, b = 6.1979 Å, c = 6.4245 Å
α = 90.00°, β = 90.00°, γ = 90.00°
With the nearest neighbours (Å) after each atom.
Fractional coordinates of all 8 atoms:
1 Tb 0.0000 0.2047 0.0000  2 O 2.11-2.17
2 Tb 0.0000 0.7953 0.5000  2 O 2.11-2.17
3 Au 0.5000 0.2829 0.6280  2 S 2.38-2.53, 2 O 2.46
4 Au 0.5000 0.7171 0.1280  2 S 2.38-2.53, 2 O 2.46
5 S 0.5000 0.3504 0.2394  2 Au 2.38-2.53
6 S 0.5000 0.6496 0.7394  2 Au 2.38-2.53
7 O 0.0000 0.0756 0.6865  2 Tb 2.11-2.17
8 O 0.0000 0.9244 0.1865  2 Tb 2.11-2.17

***

7.
An optimized crystal structure of SrTbNi2P2. Source: the Open Quantum Materials Database, functional PBE.

Values from the calculation:
total energy: -0.42380 Ry per atom

a = 3.9228 Å, b = 3.9228 Å, c = 8.2502 Å
α = 90.00°, β = 90.00°, γ = 120.00°
With the nearest neighbours (Å) after each atom.
Fractional coordinates of all 6 atoms:
1 Sr 0.0000 0.0000 0.0000  6 Ni 3.17, 6 P 3.17
2 Tb 0.0000 0.0000 0.5000  6 P 2.96, 6 Ni 2.96
3 Ni 0.3333 0.6667 0.7311  3 P 2.26
4 Ni 0.6667 0.3333 0.2689  3 P 2.26
5 P 0.3333 0.6667 0.2692  3 Ni 2.26
6 P 0.6667 0.3333 0.7308  3 Ni 2.26

***

8.
An optimized crystal structure of RbPuRe. Source: the Open Quantum Materials Database, functional PBE.

Values from the calculation:
total energy: -0.54779 Ry per atom

a = 5.0052 Å, b = 5.0052 Å, c = 5.0052 Å
α = 60.00°, β = 60.00°, γ = 60.00°
With the nearest neighbours (Å) after each atom.
Fractional coordinates of all 3 atoms:
1 Rb 0.0000 0.0000 0.0000  4 Re 3.07
2 Pu 0.5000 0.5000 0.5000  4 Re 3.07
3 Re 0.7500 0.7500 0.7500  4 Rb 3.07, 4 Pu 3.07

***

9.
An optimized crystal structure of Er4CI3Br2. Source: the Open Quantum Materials Database, functional PBE.

Values from the calculation:
total energy: -0.34940 Ry per atom

a = 9.3834 Å, b = 9.3834 Å, c = 8.4116 Å
α = 101.35°, β = 101.35°, γ = 23.85°
With the nearest neighbours (Å) after each atom.
Fractional coordinates of all 10 atoms:
1 Er 0.0013 0.0013 0.3106  2 C 2.51
2 Er 0.3679 0.3679 0.4344  1 C 2.38
3 Er 0.6321 0.6321 0.5656  1 C 2.38
4 Er 0.9987 0.9987 0.6894  2 C 2.51
5 C 0.5000 0.5000 0.5000  6 Er 2.38-2.51
6 I 0.1719 0.1719 0.3160  3 Er 3.05-3.13
7 I 0.5000 0.5000 0.0000  4 Er 3.25
8 I 0.8281 0.8281 0.6840  3 Er 3.05-3.13
9 Br 0.1560 0.1560 0.8184  3 Er 2.85-2.87
10 Br 0.8440 0.8440 0.1816  3 Er 2.85-2.87

***

10.
An optimized crystal structure of SrCdPd. Source: the Open Quantum Materials Database, functional PBE.

Values from the calculation:
total energy: -0.22301 Ry per atom

a = 4.9358 Å, b = 4.9358 Å, c = 4.9358 Å
α = 60.00°, β = 60.00°, γ = 60.00°
With the nearest neighbours (Å) after each atom.
Fractional coordinates of all 3 atoms:
1 Sr 0.0000 0.0000 0.0000  4 Pd 3.02
2 Cd 0.5000 0.5000 0.5000  4 Pd 3.02
3 Pd 0.7500 0.7500 0.7500  4 Sr 3.02, 4 Cd 3.02

***

11.
An optimized crystal structure of BeZnAu. Source: the Open Quantum Materials Database, functional PBE.

Values from the calculation:
relative energy among the computed polymorphs: 116 meV/atom

a = 4.1223 Å, b = 4.1223 Å, c = 4.1223 Å
α = 60.00°, β = 60.00°, γ = 60.00°
With the nearest neighbours (Å) after each atom.
Fractional coordinates of all 3 atoms:
1 Be 0.0000 0.0000 0.0000  4 Au 2.52
2 Zn 0.5000 0.5000 0.5000  4 Au 2.52
3 Au 0.2500 0.2500 0.2500  4 Be 2.52, 4 Zn 2.52

***

12.
An optimized crystal structure of Ta3Nb3Sb2. Source: the Open Quantum Materials Database, functional PBE.

Values from the calculation:
total energy: -0.69482 Ry per atom

a = 5.2931 Å, b = 5.3087 Å, c = 5.3004 Å
α = 90.00°, β = 90.00°, γ = 90.00°
With the nearest neighbours (Å) after each atom.
Fractional coordinates of all 8 atoms:
1 Ta 0.0000 0.0000 0.0000  2 Nb 2.64-2.66
2 Ta 0.5000 0.2496 0.2486  2 Ta 2.65-2.66, 4 Sb 2.96-2.97
3 Ta 0.5000 0.7504 0.2486  2 Ta 2.65-2.66, 4 Sb 2.96-2.97
4 Nb 0.0000 0.0000 0.4985  2 Ta 2.64-2.66
5 Nb 0.2503 0.5000 0.7496  2 Nb 2.64-2.65
6 Nb 0.7497 0.5000 0.7496  2 Nb 2.64-2.65
7 Sb 0.0000 0.5000 0.2492  6 Nb 2.96-2.97, 6 Ta 2.96
8 Sb 0.5000 0.0000 0.7492  6 Ta 2.96-2.97, 6 Nb 2.96-2.97

***

13.
An optimized crystal structure of PmSmMg. Source: the Open Quantum Materials Database, functional PBE.

Values from the calculation:
relative energy among the computed polymorphs: 0 meV/atom

a = 5.3267 Å, b = 5.3267 Å, c = 5.3267 Å
α = 60.00°, β = 60.00°, γ = 60.00°
With the nearest neighbours (Å) after each atom.
Fractional coordinates of all 3 atoms:
1 Pm 0.0000 0.0000 0.0000  4 Mg 3.26
2 Sm 0.5000 0.5000 0.5000  4 Mg 3.26
3 Mg 0.2500 0.2500 0.2500  4 Sm 3.26, 4 Pm 3.26

***

14.
An optimized crystal structure of CsScZnTe3. Source: the Open Quantum Materials Database, functional PBE.

Values from the calculation:
total energy: -0.29215 Ry per atom

a = 9.7482 Å, b = 4.3283 Å, c = 11.1398 Å
α = 90.00°, β = 113.70°, γ = 90.00°
With the nearest neighbours (Å) after each atom.
Fractional coordinates of all 12 atoms:
1 Cs 0.2387 0.2500 0.2691  6 Te 3.77-3.96
2 Cs 0.7613 0.7500 0.7309  6 Te 3.77-3.96
3 Sc 0.3285 0.7500 0.8647  6 Te 2.87-3.12
4 Sc 0.6715 0.2500 0.1353  6 Te 2.87-3.12
5 Zn 0.0812 0.2500 0.6102  4 Te 2.63-2.77
6 Zn 0.9188 0.7500 0.3898  4 Te 2.63-2.77
7 Te 0.1152 0.2500 0.8564  1 Zn 2.63
8 Te 0.2189 0.7500 0.5597  3 Zn 2.72-2.77
9 Te 0.4711 0.7500 0.1457  3 Sc 2.87-2.95
10 Te 0.5289 0.2500 0.8543  3 Sc 2.87-2.95
11 Te 0.7811 0.2500 0.4403  3 Zn 2.72-2.77
12 Te 0.8848 0.7500 0.1436  1 Zn 2.63

***

15.
An optimized crystal structure of MgInFeCo. Source: the Open Quantum Materials Database, functional PBE.

Values from the calculation:
relative energy among the computed polymorphs: 0 meV/atom

a = 4.4067 Å, b = 4.4067 Å, c = 4.4067 Å
α = 60.00°, β = 60.00°, γ = 60.00°
With the nearest neighbours (Å) after each atom.
Fractional coordinates of all 4 atoms:
1 Mg 0.0000 0.0000 0.0000  4 In 2.70, 4 Fe 2.70
2 In 0.7500 0.7500 0.7500  4 Co 2.70, 4 Mg 2.70
3 Fe 0.2500 0.2500 0.2500  4 Co 2.70, 4 Mg 2.70
4 Co 0.5000 0.5000 0.5000  4 In 2.70, 4 Fe 2.70

***

16.
An optimized crystal structure of ZrReAsO. Source: the Open Quantum Materials Database, functional PBE.

Values from the calculation:
relative energy among the computed polymorphs: 1113 meV/atom

a = 4.1626 Å, b = 4.1626 Å, c = 6.7710 Å
α = 90.00°, β = 90.00°, γ = 90.00°
With the nearest neighbours (Å) after each atom.
Fractional coordinates of all 8 atoms:
1 Zr 0.2500 0.7500 0.0000  4 As 2.78, 4 Zr 2.94
2 Zr 0.7500 0.2500 0.0000  4 As 2.78, 4 Zr 2.94
3 Re 0.2500 0.2500 0.3536  4 O 2.31, 1 As 2.54
4 Re 0.7500 0.7500 0.6464  4 O 2.31, 1 As 2.54
5 As 0.2500 0.2500 0.7281  1 Re 2.54, 4 O 2.59, 4 Zr 2.78
6 As 0.7500 0.7500 0.2719  1 Re 2.54, 4 O 2.59, 4 Zr 2.78
7 O 0.2500 0.7500 0.5000  4 Re 2.31
8 O 0.7500 0.2500 0.5000  4 Re 2.31

***

17.
An optimized crystal structure of LiBeNiBi. Source: the Open Quantum Materials Database, functional PBE.

Values from the calculation:
relative energy among the computed polymorphs: 92 meV/atom

a = 4.3354 Å, b = 4.3354 Å, c = 4.3354 Å
α = 60.00°, β = 60.00°, γ = 60.00°
With the nearest neighbours (Å) after each atom.
Fractional coordinates of all 4 atoms:
1 Li 0.0000 0.0000 0.0000  4 Bi 2.65, 4 Ni 2.65
2 Be 0.5000 0.5000 0.5000  4 Ni 2.65, 4 Bi 2.65
3 Ni 0.2500 0.2500 0.2500  4 Be 2.65, 4 Li 2.65
4 Bi 0.7500 0.7500 0.7500  4 Be 2.65, 4 Li 2.65

***

18.
An optimized crystal structure of SrPd3S4. Source: the Open Quantum Materials Database, functional PBE.

Values from the calculation:
total energy: -0.36678 Ry per atom

a = 6.7782 Å, b = 6.7782 Å, c = 6.7782 Å
α = 90.00°, β = 90.00°, γ = 90.00°
With the nearest neighbours (Å) after each atom.
Fractional coordinates of all 16 atoms:
1 Sr 0.0000 0.0000 0.0000  8 S 2.94
2 Sr 0.5000 0.5000 0.5000  8 S 2.94
3 Pd 0.0000 0.2500 0.5000  4 S 2.40
4 Pd 0.0000 0.7500 0.5000  4 S 2.40
5 Pd 0.2500 0.5000 0.0000  4 S 2.40
6 Pd 0.5000 0.0000 0.2500  4 S 2.40
7 Pd 0.5000 0.0000 0.7500  4 S 2.40
8 Pd 0.7500 0.5000 0.0000  4 S 2.40
9 S 0.2500 0.2500 0.2500  3 Pd 2.40
10 S 0.2500 0.2500 0.7500  3 Pd 2.40
11 S 0.2500 0.7500 0.2500  3 Pd 2.40
12 S 0.2500 0.7500 0.7500  3 Pd 2.40
13 S 0.7500 0.2500 0.2500  3 Pd 2.40
14 S 0.7500 0.2500 0.7500  3 Pd 2.40
15 S 0.7500 0.7500 0.2500  3 Pd 2.40
16 S 0.7500 0.7500 0.7500  3 Pd 2.40

***

19.
An optimized crystal structure of DyAuSO. Source: the Open Quantum Materials Database, functional PBE.

Values from the calculation:
relative energy among the computed polymorphs: 41 meV/atom

a = 9.0560 Å, b = 3.9570 Å, c = 3.9570 Å
α = 89.87°, β = 90.00°, γ = 90.00°
With the nearest neighbours (Å) after each atom.
Fractional coordinates of all 8 atoms:
1 Dy 0.1215 0.2500 0.7500  4 O 2.26
2 Dy 0.8785 0.7500 0.2500  4 O 2.26
3 Au 0.5000 0.0010 0.0010  2 S 2.42
4 Au 0.5000 0.5010 0.5010  2 S 2.42
5 S 0.2823 0.7510 0.2510  2 Au 2.42
6 S 0.7177 0.2510 0.7510  2 Au 2.42
7 O 0.0000 0.2501 0.2501  4 Dy 2.26
8 O 0.0000 0.7501 0.7501  4 Dy 2.26

***

20.
An optimized crystal structure of LaPrGa4Ir2. Source: the Open Quantum Materials Database, functional PBE.

Values from the calculation:
total energy: -0.41486 Ry per atom

a = 4.2436 Å, b = 7.2694 Å, c = 5.6524 Å
α = 90.00°, β = 111.39°, γ = 90.00°
With the nearest neighbours (Å) after each atom.
Fractional coordinates of all 8 atoms:
1 La 0.0000 0.0000 0.0000  3 Ir 2.93-3.19, 6 Ga 3.20-3.27
2 Pr 0.8650 0.5000 0.7259  3 Ir 2.96-3.16, 6 Ga 3.18-3.25
3 Ga 0.2828 0.1979 0.5570  3 Ir 2.61-2.63, 1 Ga 2.88
4 Ga 0.2828 0.8021 0.5570  3 Ir 2.61-2.63, 1 Ga 2.88
5 Ga 0.5840 0.3055 0.1710  3 Ir 2.62-2.64, 1 Ga 2.83
6 Ga 0.5840 0.6945 0.1710  3 Ir 2.62-2.64, 1 Ga 2.83
7 Ir 0.1419 0.5000 0.2890  6 Ga 2.61-2.63
8 Ir 0.7277 0.0000 0.4429  6 Ga 2.63-2.64, 1 La 2.93